Material: LiBeInCl4
Method: DFT, PBE
State: relaxed

The space group is P2_1/m (No. 11) and the conventional cell measures 5.9366, 6.9151 and 8.8419 Å, with angles of 90.00, 108.35 and 90.00 degrees. Symmetry generates all atoms from Li at (0.1472, 0.2500, 0.0108), Be at (0.1934, 0.7500, 0.8043), In at (0.2507, 0.2500, 0.5965), Cl at (0.0267, 0.0159, 0.2041), Cl at (0.2912, 0.7500, 0.6053) and Cl at (0.4620, 0.7500, 0.0083).

The raw formation energy is -1.352 eV per atom. Its density of states at the Fermi level is 0.00 states/eV/f.u. Its crystal system is monoclinic.